Record 1
! VOF (PBE with a Hubbard U, optimized geometry); values from VASP
&SYSTEM
  ibrav = 0, nat = 18, ntyp = 3
/
ATOMIC_SPECIES
O 16.00 O.upf
F 19.00 F.upf
V 50.94 V.upf
CELL_PARAMETERS angstrom
3.1039 0.0000 0.0000
0.0000 4.7438 -0.0009
0.0000 0.8153 14.2083
ATOMIC_POSITIONS angstrom
O 0.0000 1.5214 3.3413
F 0.0000 3.3975 1.4456
O 0.0000 2.2464 12.7557
F 1.5520 4.6391 13.3343
F 1.5520 1.5992 10.3749
O 1.5520 1.0251 0.9474
F 1.5520 3.9368 3.7593
O 0.0000 3.6054 6.1362
F 1.5520 1.1667 5.6652
V 0.0000 0.2340 0.0121
O 0.0000 1.8766 8.0387
V 1.5520 2.2682 2.3747
F 1.5520 4.3111 8.5396
V 0.0000 4.9182 4.7286
V 1.5520 3.1570 11.8425
O 0.0000 4.0290 10.8979
V 0.0000 0.5779 9.4708
V 1.5520 2.7427 7.0983
! Total energy = -7.159 eV/atom
! SG = Pm, No. 6

Record 2
! SrCr3C4O12 (PBE with a Hubbard U, optimized geometry); values from VASP
&SYSTEM
  ibrav = 0, nat = 20, ntyp = 4
/
ATOMIC_SPECIES
C 12.01 C.upf
O 16.00 O.upf
Cr 52.00 Cr.upf
Sr 87.62 Sr.upf
CELL_PARAMETERS angstrom
-1.0432 5.5194 2.9350
-4.9535 -0.4077 -3.9323
-1.4728 -4.2268 4.4868
ATOMIC_POSITIONS angstrom
C -1.9475 3.1515 4.8835
O -2.5334 3.6848 3.8650
Cr -1.2755 0.2493 3.7741
O -3.5606 -3.2457 3.4237
O -3.5588 4.4337 1.1093
O -1.8524 1.8742 5.0400
Cr -2.8391 2.7973 -0.2189
O -5.3361 -1.9848 -1.0675
O -4.6823 2.9584 -1.2924
O -3.2780 -0.0587 2.8494
Cr -3.3549 -2.1617 -0.0657
C -5.3256 2.1879 -2.1032
Sr 0.0000 0.0000 0.0000
O -5.5321 0.9382 -1.8574
C -3.7347 0.4424 1.7447
C -3.9311 -4.0121 2.4540
O -2.3093 -1.1215 5.1925
O -4.2477 -3.5553 1.2895
O -3.6784 1.7212 1.5411
O -4.2478 -0.3353 0.8437
! Total energy = -7.701 eV/atom
! SG = R32, No. 155

Number 1 is which compound?
VOF

The lowest total energy belongs to which entry?
SrCr3C4O12